[1]
# MgCrGe2O6

A relaxed structure of MgCrGe2O6 (GGA-PBEsol, the Alexandria database).

Geometry as POSCAR:
```
MgCrGe2O6
1.0
5.232 0.082 0.076
0.736 6.519 -0.009
0.736 0.492 6.501
O Ge Cr Mg
12 4 2 2
Cartesian
5.608 4.101 4.679
1.196 1.203 4.134
3.712 2.154 2.876
2.893 2.838 5.648
2.992 4.939 3.692
2.130 0.300 1.324
4.746 1.384 0.236
1.958 5.709 6.332
1.096 2.991 1.889
3.811 4.255 0.920
5.509 5.890 2.434
4.574 6.793 5.244
2.094 4.330 5.172
4.610 2.763 1.396
1.994 1.563 2.610
4.710 5.530 3.958
4.660 6.028 0.645
2.044 1.065 5.923
2.044 4.904 1.777
4.660 2.189 4.791
```

=====

[2]
# Mg3Cr2Ge3O12

A relaxed structure of Mg3Cr2Ge3O12 (GGA-PBEsol, the Alexandria database).

Geometry as POSCAR:
```
Mg3Cr2Ge3O12
1.0
10.281 0.000 0.000
-3.427 9.693 0.000
-3.427 -4.847 8.395
Ge O Mg Cr
12 48 12 8
Cartesian
4.284 4.241 5.247
0.857 6.664 1.049
4.284 2.423 2.099
-2.570 7.270 2.099
0.857 3.029 1.049
-2.570 5.453 5.247
5.998 -2.423 6.296
-0.857 2.423 6.296
2.570 -1.818 7.345
5.998 -0.606 3.148
-0.857 0.606 3.148
2.570 1.818 7.345
1.237 3.577 2.682
0.852 -1.419 7.340
-2.190 5.582 1.756
-0.476 0.735 6.638
-2.181 8.414 0.814
0.476 6.117 2.682
1.622 6.522 5.011
4.664 5.381 3.956
-2.566 -2.219 5.954
0.468 8.349 0.702
3.895 1.280 0.814
4.289 1.419 7.340
-5.608 4.782 6.880
6.946 3.768 0.241
-2.575 2.219 5.954
2.181 3.502 7.693
6.378 0.535 4.439
5.232 2.754 5.252
0.861 0.800 3.496
-0.852 5.647 4.899
0.092 3.172 5.011
-0.092 -2.754 5.252
-0.468 3.567 7.581
2.960 -3.502 7.693
4.279 -0.800 3.496
5.993 7.066 2.441
6.387 -0.065 1.515
-3.519 1.079 8.154
5.608 -3.567 7.581
1.805 -1.675 3.384
2.566 4.046 4.899
-1.237 -0.535 4.439
-1.622 -1.079 8.154
5.617 -0.735 6.638
2.190 1.270 5.712
-2.951 4.312 3.956
9.035 0.065 1.515
3.336 1.675 3.384
6.002 2.627 2.441
1.246 1.344 0.702
2.951 -1.270 5.712
2.575 6.266 1.055
-1.805 2.093 3.143
3.903 4.111 1.756
5.049 5.925 0.241
-2.960 4.911 6.880
-0.861 3.428 1.055
3.519 7.601 3.143
2.570 0.000 2.099
0.857 -0.606 5.247
2.570 5.453 3.148
-0.857 -3.029 7.345
4.284 0.606 5.247
-2.570 0.000 6.296
0.857 4.847 6.296
-4.284 3.029 7.345
7.711 1.818 1.049
4.284 7.876 1.049
-0.857 4.241 3.148
5.998 4.847 2.099
0.000 0.000 0.000
-1.714 -2.423 4.197
1.714 2.423 4.197
3.427 4.847 0.000
3.427 -2.423 4.197
-1.714 4.847 0.000
5.141 0.000 0.000
-3.427 2.423 4.197
```

=====

[3]
# Cr3GeMo

A relaxed structure of Cr3GeMo (GGA-PBEsol, the Alexandria database).

Geometry as POSCAR:
```
Cr3GeMo
1.0
-3.303 2.582 0.965
-2.697 -3.337 -0.304
0.566 -0.838 4.181
Cr Mo Ge
3 1 1
Cartesian
-1.651 1.291 0.483
0.283 -0.419 2.091
-1.349 -1.669 -0.152
-2.717 -0.797 2.421
0.000 0.000 0.000
```

Output
The value obtained for the formation enthalpy at 0 K is 1.45 eV per atom.

=====

[4]
# CrGeNO2

A relaxed structure of CrGeNO2 (GGA-PBEsol, the Alexandria database).

Geometry as POSCAR:
```
CrGeNO2
1.0
-1.017 3.347 1.022
-3.142 -1.342 1.267
1.611 -0.552 3.411
O N Cr Ge
2 1 1 1
Cartesian
-0.508 1.673 0.511
-1.571 -0.671 0.634
0.806 -0.276 1.705
-1.274 0.727 2.850
0.000 0.000 0.000
```

=====

V across the listed records, respectively: 221.0, 836.6, 79.6, 50.6 Å³ per cell.
Total DFT energy (no corrections) across the listed records, respectively: -7.1598, -7.2354, -8.0358, -7.1287 eV per atom.